[1]
BaIr3, optimized geometry, DFT GGA-PBE; uncorrected energy = -6.0633 eV/atom
1.0
0.0000 3.3850 3.3850
3.3850 0.0000 3.3850
3.3850 3.3850 0.0000
Ba Ir
1 3
Direct
0.0000 0.0000 0.0000
0.2500 0.2500 0.2500
0.5000 0.5000 0.5000
0.7500 0.7500 0.7500

[2]
BaIr, optimized geometry, DFT GGA-PBE; uncorrected energy = -5.0806 eV/atom
1.0
5.3190 0.0000 0.0000
-2.6595 4.6064 0.0000
0.0000 0.0000 15.2983
Ba Ir
6 6
Direct
0.0000 0.0000 0.2233
0.0000 0.0000 0.7767
0.3333 0.6667 0.0776
0.3333 0.6667 0.4174
0.6667 0.3333 0.5826
0.6667 0.3333 0.9224
0.0000 0.0000 0.4214
0.0000 0.0000 0.5786
0.3333 0.6667 0.6821
0.3333 0.6667 0.8449
0.6667 0.3333 0.1551
0.6667 0.3333 0.3179

[3]
BaIr, optimized geometry, DFT GGA-PBE; uncorrected energy = -5.2410 eV/atom
1.0
4.1699 0.0000 0.0000
-2.0849 3.6112 0.0000
0.0000 0.0000 9.7528
Ba Ir
2 2
Direct
0.3333 0.6667 0.2174
0.6667 0.3333 0.7826
0.3333 0.6667 0.5307
0.6667 0.3333 0.4693